1.
A plane-wave DFT calculation with GGA-PBE was carried out for Zr2RuW after structural relaxation.

Unit cell a=3.0593 b=4.4619 c=5.5199 alpha=90.00 beta=90.00 gamma=90.00
With the nearest neighbours (Å) after each atom.
Element x y z (fractional)
1 Ru 0.0000 0.0000 0.4831  6 Zr 2.66-2.92
2 W 0.5000 0.5000 0.7703  6 Zr 2.70-2.91
3 Zr 0.0000 0.0000 0.9648  2 Ru 2.66-2.86, 4 W 2.91
4 Zr 0.5000 0.5000 0.2819  2 W 2.70-2.82, 4 Ru 2.92

---

2.
A plane-wave DFT calculation with GGA-PBE was carried out for ZrRuW after structural relaxation.

Unit cell a=5.4728 b=5.4728 c=5.4728 alpha=145.72 beta=145.72 gamma=49.27
With the nearest neighbours (Å) after each atom.
Element x y z (fractional)
1 Ru 0.9922 0.9922 0.0000  4 W 2.72, 4 Zr 2.86
2 W 0.3431 0.3431 0.0000  4 Ru 2.72, 4 Zr 2.89
3 Zr 0.6648 0.6648 0.0000  4 Ru 2.86, 4 W 2.89

Values from the calculation:
Energy above the lowest structure with this stoichiometry (meV per atom): 158.9

---

3.
A plane-wave DFT calculation with GGA-PBE was carried out for Zr3RuW after structural relaxation.

Unit cell a=4.9903 b=4.9903 c=4.9903 alpha=90.00 beta=90.00 gamma=90.00
With the nearest neighbours (Å) after each atom.
Element x y z (fractional)
1 Ru 0.5000 0.5000 0.5000  12 Zr 3.53
2 Zr 0.0000 0.5000 0.0000  2 W 2.50
3 Zr 0.0000 0.0000 0.5000  2 W 2.50
4 Zr 0.5000 0.0000 0.0000  2 W 2.50
5 W 0.0000 0.0000 0.0000  6 Zr 2.50

Values from the calculation:
Energy above the lowest structure with this stoichiometry (meV per atom): 292.9

---

4.
A plane-wave DFT calculation with GGA-PBE was carried out for ZrRuW after structural relaxation.

Unit cell a=4.3908 b=4.3908 c=4.3908 alpha=60.00 beta=60.00 gamma=60.00
With the nearest neighbours (Å) after each atom.
Element x y z (fractional)
1 Ru 0.7500 0.7500 0.7500  4 Zr 2.69, 4 W 2.69
2 W 0.0000 0.0000 0.0000  4 Ru 2.69
3 Zr 0.5000 0.5000 0.5000  4 Ru 2.69

Values from the calculation:
Energy above the lowest structure with this stoichiometry (meV per atom): 535.4

---

5.
A plane-wave DFT calculation with GGA-PBE was carried out for Zr2RuW after structural relaxation.

Unit cell a=4.6993 b=4.6993 c=3.3012 alpha=90.00 beta=90.00 gamma=90.00
With the nearest neighbours (Å) after each atom.
Element x y z (fractional)
1 Ru 0.5000 0.0000 0.5000  8 Zr 2.87
2 W 0.0000 0.5000 0.5000  8 Zr 2.87
3 Zr 0.0000 0.0000 0.0000  4 W 2.87, 4 Ru 2.87
4 Zr 0.5000 0.5000 0.0000  4 Ru 2.87, 4 W 2.87

---

6.
A plane-wave DFT calculation with GGA-PBE was carried out for ZrRuW2 after structural relaxation.

Unit cell a=4.4603 b=2.8543 c=5.3646 alpha=80.06 beta=90.00 gamma=90.00
With the nearest neighbours (Å) after each atom.
Element x y z (fractional)
1 Ru 0.5000 0.7510 0.7508  2 Zr 2.74, 4 W 2.75-2.88, 2 Ru 2.85
2 W 0.0000 0.0097 0.0082  4 W 2.67-2.85, 2 Ru 2.79, 2 Zr 2.81-2.82
3 W 0.5000 0.2372 0.2333  4 W 2.67-2.85, 2 Ru 2.75-2.88, 2 Zr 2.85
4 Zr 0.0000 0.5021 0.5076  2 Ru 2.74, 4 W 2.81-2.85, 2 Zr 2.85

Values from the calculation:
Energy above the lowest structure with this stoichiometry (meV per atom): 128.9

---

7.
A plane-wave DFT calculation with GGA-PBE was carried out for Zr2RuW after structural relaxation.

Unit cell a=5.5923 b=5.5923 c=5.5923 alpha=139.08 beta=139.08 gamma=59.26
With the nearest neighbours (Å) after each atom.
Element x y z (fractional)
1 Ru 0.5000 0.5000 0.0000  4 Zr 2.76
2 W 0.7500 0.2500 0.5000  4 Zr 2.76
3 Zr 0.0000 0.0000 0.0000  4 Ru 2.76
4 Zr 0.2500 0.7500 0.5000  4 W 2.76

---

8.
A plane-wave DFT calculation with GGA-PBE was carried out for ZrRuW2 after structural relaxation.

Unit cell a=2.8339 b=2.8339 c=8.9667 alpha=90.00 beta=90.00 gamma=110.89
With the nearest neighbours (Å) after each atom.
Element x y z (fractional)
1 Ru 0.5000 0.5000 0.7605  2 W 2.65, 2 Zr 2.78, 4 Ru 2.83
2 W 0.0000 0.0000 0.9948  2 Ru 2.65, 6 W 2.70-2.83
3 W 0.5000 0.5000 0.2368  6 W 2.70-2.83, 2 Zr 2.91
4 Zr 0.0000 0.0000 0.5079  2 Ru 2.78, 4 Zr 2.83, 2 W 2.91

Values from the calculation:
Energy above the lowest structure with this stoichiometry (meV per atom): 170.9

---

9.
A plane-wave DFT calculation with GGA-PBE was carried out for Zr2RuW after structural relaxation.

Unit cell a=4.5956 b=3.0082 c=5.3929 alpha=77.82 beta=90.00 gamma=90.00
With the nearest neighbours (Å) after each atom.
Element x y z (fractional)
1 Ru 0.0000 0.5070 0.5060  4 Zr 2.75-2.85, 2 W 2.79, 2 Ru 3.01
2 W 0.5000 0.7350 0.7436  4 Zr 2.76-2.84, 2 Ru 2.79, 2 W 3.01
3 Zr 0.0000 0.9916 0.9912  2 Ru 2.75-2.85, 2 W 2.84, 4 Zr 2.92-3.01
4 Zr 0.5000 0.2664 0.2591  2 W 2.76-2.84, 2 Ru 2.83, 4 Zr 2.92-3.01

---

10.
A plane-wave DFT calculation with GGA-PBE was carried out for ZrRuW2 after structural relaxation.

Unit cell a=4.6219 b=2.8416 c=5.2076 alpha=78.73 beta=90.00 gamma=90.00
With the nearest neighbours (Å) after each atom.
Element x y z (fractional)
1 Ru 0.5000 0.7500 0.7500  2 Zr 2.71, 4 W 2.80, 2 Ru 2.84
2 W 0.0000 0.9953 0.9984  4 W 2.71-2.84, 2 Ru 2.80, 2 Zr 2.82
3 W 0.0000 0.5047 0.5016  4 W 2.71-2.84, 2 Ru 2.80, 2 Zr 2.82
4 Zr 0.5000 0.2500 0.2500  2 Ru 2.71, 4 W 2.82, 2 Zr 2.84

Values from the calculation:
Energy above the lowest structure with this stoichiometry (meV per atom): 159.9

---

11.
A plane-wave DFT calculation with GGA-PBE was carried out for ZrRuW2 after structural relaxation.

Unit cell a=3.2172 b=3.2172 c=6.5329 alpha=90.00 beta=90.00 gamma=90.00
With the nearest neighbours (Å) after each atom.
Element x y z (fractional)
1 Ru 0.5000 0.5000 0.7582  5 W 2.79-3.09, 4 Zr 2.81
2 W 0.0000 0.0000 0.0063  4 W 2.71, 4 Ru 2.79
3 W 0.5000 0.5000 0.2309  4 W 2.71, 4 Zr 2.89
4 Zr 0.0000 0.0000 0.5047  4 Ru 2.81, 4 W 2.89

Values from the calculation:
Energy above the lowest structure with this stoichiometry (meV per atom): 0.0

---

12.
A plane-wave DFT calculation with GGA-PBE was carried out for ZrRuW2 after structural relaxation.

Unit cell a=4.5567 b=4.5567 c=4.5567 alpha=60.00 beta=60.00 gamma=60.00
With the nearest neighbours (Å) after each atom.
Element x y z (fractional)
1 Ru 0.5000 0.5000 0.5000  4 Zr 2.79, 4 W 2.79
2 W 0.0000 0.0000 0.0000  4 Zr 2.79, 4 W 2.79
3 W 0.2500 0.2500 0.2500  4 W 2.79, 4 Ru 2.79
4 Zr 0.7500 0.7500 0.7500  4 Ru 2.79, 4 W 2.79

Values from the calculation:
Energy above the lowest structure with this stoichiometry (meV per atom): 10.3

---

13.
A plane-wave DFT calculation with GGA-PBE was carried out for Zr2RuW after structural relaxation.

Unit cell a=8.9186 b=8.9186 c=8.9186 alpha=20.30 beta=20.30 gamma=20.30
With the nearest neighbours (Å) after each atom.
Element x y z (fractional)
1 Ru 0.2500 0.2500 0.2500  6 Zr 2.75
2 W 0.7500 0.7500 0.7500  6 Zr 2.93, 6 W 3.14
3 Zr 0.9956 0.9956 0.9956  3 Ru 2.75, 3 W 2.93
4 Zr 0.5044 0.5044 0.5044  3 Ru 2.75, 3 W 2.93

---

14.
A plane-wave DFT calculation with GGA-PBE was carried out for ZrRuW2 after structural relaxation.

Unit cell a=9.9262 b=9.9262 c=9.9262 alpha=16.43 beta=16.43 gamma=16.43
With the nearest neighbours (Å) after each atom.
Element x y z (fractional)
1 Ru 0.7500 0.7500 0.7500  6 W 2.75, 6 Ru 2.84
2 W 0.0082 0.0082 0.0082  3 Ru 2.75, 6 W 2.84
3 W 0.4918 0.4918 0.4918  3 Ru 2.75, 6 W 2.84
4 Zr 0.2500 0.2500 0.2500  6 Zr 2.84, 6 W 3.15

Values from the calculation:
Energy above the lowest structure with this stoichiometry (meV per atom): 403.7

---

15.
A plane-wave DFT calculation with GGA-PBE was carried out for ZrRuW2 after structural relaxation.

Unit cell a=9.8902 b=9.8902 c=9.8902 alpha=16.49 beta=16.49 gamma=16.49
With the nearest neighbours (Å) after each atom.
Element x y z (fractional)
1 Ru 0.7437 0.7437 0.7437  3 W 2.68, 6 Ru 2.84
2 W 0.0044 0.0044 0.0044  3 Ru 2.68, 9 W 2.84-2.93
3 W 0.2548 0.2548 0.2548  9 W 2.84-2.93, 3 Zr 3.12
4 Zr 0.4972 0.4972 0.4972  6 Zr 2.84, 3 Ru 3.02, 3 W 3.12

Values from the calculation:
Energy above the lowest structure with this stoichiometry (meV per atom): 362.8

---

The calculation returns the following M_tot values, one per record and in order: 0.0 0.0 0.0 0.0 0.0 0.0 0.0 0.0 0.0 0.0 0.0 0.0 0.0 0.2 0.0 μB per cell.
The calculation returns the following E_form values, one per record and in order: 0.17 -0.05 1.20 0.33 -0.19 0.05 0.05 0.09 -0.02 0.08 -0.08 -0.07 0.13 0.32 0.28 eV/atom.